# 1
# PBE-GGA LiThZn2, relaxed
# volume = 22.22 A^3/atom
# energy of formation from the pure elements = -0.05 eV/atom
data_LiThZn2
_cell_length_a 5.115
_cell_length_b 5.115
_cell_length_c 3.398
_cell_angle_alpha 90.00
_cell_angle_beta 90.00
_cell_angle_gamma 90.00
_space_group_name_H-M_alt 'P 4/m m m'
_space_group_IT_number 123
_space_group_name_Hall '-P 4 2'
loop_
_atom_site_label
_atom_site_fract_x
_atom_site_fract_y
_atom_site_fract_z
_atom_site_occupancy
Li1 0.000 0.000 0.000 1
Th1 0.500 0.500 0.000 1
Zn1 0.000 0.500 0.500 1

***

# 2
# PBE-GGA LiThZn17, relaxed
# volume = 16.31 A^3/atom
# energy of formation from the pure elements = -0.13 eV/atom
data_LiThZn17
_cell_length_a 9.0115
_cell_length_b 9.0115
_cell_length_c 13.2183
_cell_angle_alpha 90.00
_cell_angle_beta 90.00
_cell_angle_gamma 120.00
_space_group_name_H-M_alt 'R 3 m'
_space_group_IT_number 160
_space_group_name_Hall 'R 3 -2"'
loop_
_atom_site_label
_atom_site_fract_x
_atom_site_fract_y
_atom_site_fract_z
_atom_site_occupancy
Li1 0.0000 0.0000 0.0000 1
Th1 0.0000 0.0000 0.3093 1
Zn1 0.0000 0.0000 0.5510 1
Zn2 0.0000 0.0000 0.7555 1
Zn3 0.0062 0.3016 0.6464 1
Zn4 0.0090 0.5045 0.1429 1
Zn5 0.0164 0.5082 0.7985 1
Zn6 0.1674 0.3348 0.8286 1

***

# 3
# PBE-GGA LiThZr2, relaxed
# volume = 23.28 A^3/atom
# energy of formation from the pure elements = 0.20 eV/atom
data_LiThZr2
_cell_length_a 3.379
_cell_length_b 3.379
_cell_length_c 8.157
_cell_angle_alpha 90.00
_cell_angle_beta 90.00
_cell_angle_gamma 90.00
_space_group_name_H-M_alt 'P 4/m m m'
_space_group_IT_number 123
_space_group_name_Hall '-P 4 2'
loop_
_atom_site_label
_atom_site_fract_x
_atom_site_fract_y
_atom_site_fract_z
_atom_site_occupancy
Li1 0.000 0.000 0.000 1
Th1 0.000 0.000 0.500 1
Zr1 0.500 0.500 0.207 1

***

# 4
# PBE-GGA Li4Ti, relaxed
# volume = 28.52 A^3/atom
# energy of formation from the pure elements = 0.90 eV/atom
data_Li4Ti
_cell_length_a 5.224
_cell_length_b 5.224
_cell_length_c 5.224
_cell_angle_alpha 90.00
_cell_angle_beta 90.00
_cell_angle_gamma 90.00
_space_group_name_H-M_alt 'P m -3 m'
_space_group_IT_number 221
_space_group_name_Hall '-P 4 2 3'
loop_
_atom_site_label
_atom_site_fract_x
_atom_site_fract_y
_atom_site_fract_z
_atom_site_occupancy
Li1 0.000 0.000 0.000 1
Li2 0.000 0.500 0.500 1
Ti1 0.500 0.500 0.500 1

***

# 5
# PBE-GGA LiTi, relaxed
# volume = 16.43 A^3/atom
# distance to the lowest polymorph of the same formula = 0.196 eV/atom
# energy of formation from the pure elements = 0.49 eV/atom
data_LiTi
_cell_length_a 10.368
_cell_length_b 10.368
_cell_length_c 2.445
_cell_angle_alpha 90.00
_cell_angle_beta 90.00
_cell_angle_gamma 90.00
_space_group_name_H-M_alt 'I 4/m'
_space_group_IT_number 87
_space_group_name_Hall '-I 4'
loop_
_atom_site_label
_atom_site_fract_x
_atom_site_fract_y
_atom_site_fract_z
_atom_site_occupancy
Li1 0.071 0.644 0.000 1
Ti1 0.126 0.160 0.000 1

***

# 6
# PBE-GGA LiTi, relaxed
# volume = 43.41 A^3/atom
# distance to the lowest polymorph of the same formula = 0.954 eV/atom
# energy of formation from the pure elements = 1.24 eV/atom
data_LiTi
_cell_length_a 8.856
_cell_length_b 8.856
_cell_length_c 8.856
_cell_angle_alpha 90.00
_cell_angle_beta 90.00
_cell_angle_gamma 90.00
_space_group_name_H-M_alt 'I -4 3 m'
_space_group_IT_number 217
_space_group_name_Hall 'I -4 2 3'
loop_
_atom_site_label
_atom_site_fract_x
_atom_site_fract_y
_atom_site_fract_z
_atom_site_occupancy
Li1 0.201 0.201 0.201 1
Ti1 0.100 0.100 0.900 1

***

# 7
# PBE-GGA LiTi, relaxed
# volume = 33.54 A^3/atom
# distance to the lowest polymorph of the same formula = 1.665 eV/atom
# energy of formation from the pure elements = 1.95 eV/atom
data_LiTi
_cell_length_a 7.383
_cell_length_b 7.383
_cell_length_c 7.383
_cell_angle_alpha 90.00
_cell_angle_beta 90.00
_cell_angle_gamma 90.00
_space_group_name_H-M_alt 'P m -3 n'
_space_group_IT_number 223
_space_group_name_Hall '-P 4n 2 3'
loop_
_atom_site_label
_atom_site_fract_x
_atom_site_fract_y
_atom_site_fract_z
_atom_site_occupancy
Li1 0.000 0.250 0.500 1
Ti1 0.000 0.500 0.250 1

***

# 8
# PBE-GGA LiTi, relaxed
# volume = 16.42 A^3/atom
# distance to the lowest polymorph of the same formula = 0.087 eV/atom
# energy of formation from the pure elements = 0.38 eV/atom
data_LiTi
_cell_length_a 9.828
_cell_length_b 4.512
_cell_length_c 5.923
_cell_angle_alpha 90.00
_cell_angle_beta 90.00
_cell_angle_gamma 90.00
_space_group_name_H-M_alt 'P n m a'
_space_group_IT_number 62
_space_group_name_Hall '-P 2ac 2n'
loop_
_atom_site_label
_atom_site_fract_x
_atom_site_fract_y
_atom_site_fract_z
_atom_site_occupancy
Li1 0.076 0.250 0.070 1
Li2 0.155 0.750 0.804 1
Ti1 0.076 0.250 0.558 1
Ti2 0.185 0.750 0.317 1

***

# 9
# PBE-GGA LiTi, relaxed
# volume = 17.00 A^3/atom
# distance to the lowest polymorph of the same formula = 0.000 eV/atom
# energy of formation from the pure elements = 0.29 eV/atom
data_LiTi
_cell_length_a 2.862
_cell_length_b 13.512
_cell_length_c 5.275
_cell_angle_alpha 90.00
_cell_angle_beta 90.00
_cell_angle_gamma 90.00
_space_group_name_H-M_alt 'P m m n'
_space_group_IT_number 59
loop_
_space_group_symop_operation_xyz
'x,y,z'
'-x,-y,-z'
'-x+1/2,-y+1/2,z'
'x+1/2,y+1/2,-z'
'x+1/2,-y,-z'
'-x+1/2,y,z'
'-x,y+1/2,-z'
'x,-y+1/2,z'
loop_
_atom_site_label
_atom_site_fract_x
_atom_site_fract_y
_atom_site_fract_z
_atom_site_occupancy
Li1 0.250 0.083 0.019 1
Li2 0.250 0.750 0.001 1
Ti1 0.250 0.250 0.502 1
Ti2 0.250 0.583 0.486 1

***

# 10
# PBE-GGA LiTi, relaxed
# volume = 17.20 A^3/atom
# distance to the lowest polymorph of the same formula = 0.665 eV/atom
# energy of formation from the pure elements = 0.96 eV/atom
data_LiTi
_cell_length_a 5.162
_cell_length_b 5.162
_cell_length_c 5.162
_cell_angle_alpha 90.00
_cell_angle_beta 90.00
_cell_angle_gamma 90.00
_space_group_name_H-M_alt 'F m -3 m'
_space_group_IT_number 225
_space_group_name_Hall '-F 4 2 3'
loop_
_atom_site_label
_atom_site_fract_x
_atom_site_fract_y
_atom_site_fract_z
_atom_site_occupancy
Li1 0.000 0.000 0.000 1
Ti1 0.000 0.000 0.500 1

***

# 11
# PBE-GGA LiTi, relaxed
# volume = 18.13 A^3/atom
# distance to the lowest polymorph of the same formula = 0.003 eV/atom
# energy of formation from the pure elements = 0.29 eV/atom
data_LiTi
_cell_length_a 10.303
_cell_length_b 10.303
_cell_length_c 2.733
_cell_angle_alpha 90.00
_cell_angle_beta 90.00
_cell_angle_gamma 90.00
_space_group_name_H-M_alt 'P 4/m'
_space_group_IT_number 83
_space_group_name_Hall '-P 4'
loop_
_atom_site_label
_atom_site_fract_x
_atom_site_fract_y
_atom_site_fract_z
_atom_site_occupancy
Li1 0.090 0.660 0.000 1
Li2 0.113 0.157 0.500 1
Ti1 0.181 0.407 0.000 1
Ti2 0.335 0.587 0.500 1

***

# 12
# PBE-GGA LiTi, relaxed
# volume = 16.65 A^3/atom
# distance to the lowest polymorph of the same formula = 0.063 eV/atom
# energy of formation from the pure elements = 0.35 eV/atom
data_LiTi
_cell_length_a 2.750
_cell_length_b 13.952
_cell_length_c 5.209
_cell_angle_alpha 90.00
_cell_angle_beta 90.00
_cell_angle_gamma 90.00
_space_group_name_H-M_alt 'A m m 2'
_space_group_IT_number 38
_space_group_name_Hall 'A 2 -2'
loop_
_atom_site_label
_atom_site_fract_x
_atom_site_fract_y
_atom_site_fract_z
_atom_site_occupancy
Li1 0.000 0.000 0.000 1
Li2 0.500 0.153 0.901 1
Ti1 0.000 0.167 0.407 1
Ti2 0.500 0.000 0.478 1

***

Question: Among the records above, which one has the highest energy of formation from the pure elements?
Answer: number 7

***

Please write out number 3 again, unchanged.
# PBE-GGA LiThZr2, relaxed
# volume = 23.28 A^3/atom
# energy of formation from the pure elements = 0.20 eV/atom
data_LiThZr2
_cell_length_a 3.379
_cell_length_b 3.379
_cell_length_c 8.157
_cell_angle_alpha 90.00
_cell_angle_beta 90.00
_cell_angle_gamma 90.00
_space_group_name_H-M_alt 'P 4/m m m'
_space_group_IT_number 123
_space_group_name_Hall '-P 4 2'
loop_
_atom_site_label
_atom_site_fract_x
_atom_site_fract_y
_atom_site_fract_z
_atom_site_occupancy
Li1 0.000 0.000 0.000 1
Th1 0.000 0.000 0.500 1
Zr1 0.500 0.500 0.207 1

***

Please write out number 9 again, unchanged.
# PBE-GGA LiTi, relaxed
# volume = 17.00 A^3/atom
# distance to the lowest polymorph of the same formula = 0.000 eV/atom
# energy of formation from the pure elements = 0.29 eV/atom
data_LiTi
_cell_length_a 2.862
_cell_length_b 13.512
_cell_length_c 5.275
_cell_angle_alpha 90.00
_cell_angle_beta 90.00
_cell_angle_gamma 90.00
_space_group_name_H-M_alt 'P m m n'
_space_group_IT_number 59
loop_
_space_group_symop_operation_xyz
'x,y,z'
'-x,-y,-z'
'-x+1/2,-y+1/2,z'
'x+1/2,y+1/2,-z'
'x+1/2,-y,-z'
'-x+1/2,y,z'
'-x,y+1/2,-z'
'x,-y+1/2,z'
loop_
_atom_site_label
_atom_site_fract_x
_atom_site_fract_y
_atom_site_fract_z
_atom_site_occupancy
Li1 0.250 0.083 0.019 1
Li2 0.250 0.750 0.001 1
Ti1 0.250 0.250 0.502 1
Ti2 0.250 0.583 0.486 1

***

Question: The highest energy of formation from the pure elements belongs to which entry?
Answer: number 7